Record 1
# Fe2CoCu (PBEsol, relaxed)
data_Fe2CoCu
_symmetry_space_group_name_H-M 'P 1'
_symmetry_Int_Tables_number 1
_cell_length_a 3.966
_cell_length_b 3.966
_cell_length_c 3.966
_cell_angle_alpha 60.00
_cell_angle_beta 60.00
_cell_angle_gamma 60.00
loop_
_symmetry_equiv_pos_as_xyz
'x,y,z'
loop_
_atom_site_label
_atom_site_fract_x
_atom_site_fract_y
_atom_site_fract_z
_atom_site_occupancy
Fe1 0.000 0.000 0.000 1
Fe2 0.250 0.250 0.250 1
Co1 0.500 0.500 0.500 1
Cu1 0.750 0.750 0.750 1
# **Energy relative to the lowest polymorph listed for this composition**: 37.0 meV/atom
# **Space-group type**: F-43m, No. 216
# **Electronic total energy**: -29.3 eV for the cell shown
# **Calculated formation energy**: 165 meV/atom



Record 2
# CdAsIr2 (PBEsol, relaxed)
data_CdAsIr2
_symmetry_space_group_name_H-M 'P 1'
_symmetry_Int_Tables_number 1
_cell_length_a 4.224
_cell_length_b 4.224
_cell_length_c 3.482
_cell_angle_alpha 90.00
_cell_angle_beta 90.00
_cell_angle_gamma 90.00
loop_
_symmetry_equiv_pos_as_xyz
'x,y,z'
loop_
_atom_site_label
_atom_site_fract_x
_atom_site_fract_y
_atom_site_fract_z
_atom_site_occupancy
Cd1 0.000 0.000 0.000 1
As1 0.500 0.500 0.000 1
Ir1 0.000 0.500 0.500 1
Ir2 0.500 0.000 0.500 1
# **Energy relative to the lowest polymorph listed for this composition**: 158.3 meV/atom
# **Space-group type**: P4/mmm, No. 123
# **Electronic total energy**: -24.7 eV for the cell shown
# **Calculated formation energy**: 310 meV/atom



Record 3
# Sc4Mo3 (PBEsol, relaxed)
data_Sc4Mo3
_symmetry_space_group_name_H-M 'P 1'
_symmetry_Int_Tables_number 1
_cell_length_a 13.333
_cell_length_b 13.333
_cell_length_c 13.333
_cell_angle_alpha 166.18
_cell_angle_beta 166.18
_cell_angle_gamma 19.60
loop_
_symmetry_equiv_pos_as_xyz
'x,y,z'
loop_
_atom_site_label
_atom_site_fract_x
_atom_site_fract_y
_atom_site_fract_z
_atom_site_occupancy
Sc1 0.062 0.062 0.000 1
Sc2 0.342 0.342 0.000 1
Sc3 0.658 0.658 0.000 1
Sc4 0.938 0.938 0.000 1
Mo1 0.224 0.224 0.000 1
Mo2 0.500 0.500 0.000 1
Mo3 0.776 0.776 0.000 1
# **Space-group type**: I4/mmm, No. 139
# **Electronic total energy**: -61.2 eV for the cell shown
# **Calculated formation energy**: 79 meV/atom



Record 4
# BeAs2C (PBEsol, relaxed)
data_BeAs2C
_symmetry_space_group_name_H-M 'P 1'
_symmetry_Int_Tables_number 1
_cell_length_a 4.156
_cell_length_b 4.156
_cell_length_c 4.156
_cell_angle_alpha 60.00
_cell_angle_beta 60.00
_cell_angle_gamma 60.00
loop_
_symmetry_equiv_pos_as_xyz
'x,y,z'
loop_
_atom_site_label
_atom_site_fract_x
_atom_site_fract_y
_atom_site_fract_z
_atom_site_occupancy
Be1 0.000 0.000 0.000 1
As1 0.250 0.250 0.250 1
As2 0.750 0.750 0.750 1
C1 0.500 0.500 0.500 1
# **Space-group type**: Fm-3m, No. 225
# **Electronic total energy**: -18.0 eV for the cell shown
# **Calculated formation energy**: 1456 meV/atom



Record 5
# Ba2CoCl6 (PBEsol, relaxed)
data_Ba2CoCl6
_symmetry_space_group_name_H-M 'P 1'
_symmetry_Int_Tables_number 1
_cell_length_a 9.051
_cell_length_b 7.977
_cell_length_c 15.478
_cell_angle_alpha 90.00
_cell_angle_beta 125.58
_cell_angle_gamma 90.00
loop_
_symmetry_equiv_pos_as_xyz
'x,y,z'
loop_
_atom_site_label
_atom_site_fract_x
_atom_site_fract_y
_atom_site_fract_z
_atom_site_occupancy
Ba1 0.157 0.110 0.296 1
Ba2 0.157 0.390 0.796 1
Ba3 0.218 0.724 0.095 1
Ba4 0.218 0.776 0.595 1
Ba5 0.782 0.224 0.405 1
Ba6 0.782 0.276 0.905 1
Ba7 0.843 0.610 0.204 1
Ba8 0.843 0.890 0.704 1
Co1 0.439 0.144 0.068 1
Co2 0.439 0.356 0.568 1
Co3 0.561 0.644 0.432 1
Co4 0.561 0.856 0.932 1
Cl1 0.056 0.099 0.634 1
Cl2 0.056 0.401 0.134 1
Cl3 0.111 0.074 0.930 1
Cl4 0.111 0.426 0.430 1
Cl5 0.247 0.731 0.305 1
Cl6 0.247 0.769 0.805 1
Cl7 0.368 0.076 0.541 1
Cl8 0.368 0.424 0.041 1
Cl9 0.399 0.085 0.202 1
Cl10 0.399 0.415 0.702 1
Cl11 0.481 0.143 0.927 1
Cl12 0.481 0.357 0.427 1
Cl13 0.519 0.643 0.573 1
Cl14 0.519 0.857 0.073 1
Cl15 0.601 0.585 0.298 1
Cl16 0.601 0.915 0.798 1
Cl17 0.632 0.576 0.959 1
Cl18 0.632 0.924 0.459 1
Cl19 0.753 0.231 0.195 1
Cl20 0.753 0.269 0.695 1
Cl21 0.889 0.574 0.570 1
Cl22 0.889 0.926 0.070 1
Cl23 0.944 0.599 0.866 1
Cl24 0.944 0.901 0.366 1
# **Energy relative to the elements, uncorrected**: -1835 meV/atom
# **Space-group type**: P2_1/c, No. 14
# **Electronic total energy**: -162.4 eV for the cell shown



Record 6
# ReSn3Pt (PBEsol, relaxed)
data_ReSn3Pt
_symmetry_space_group_name_H-M 'P 1'
_symmetry_Int_Tables_number 1
_cell_length_a 5.068
_cell_length_b 5.068
_cell_length_c 5.068
_cell_angle_alpha 90.00
_cell_angle_beta 90.00
_cell_angle_gamma 90.00
loop_
_symmetry_equiv_pos_as_xyz
'x,y,z'
loop_
_atom_site_label
_atom_site_fract_x
_atom_site_fract_y
_atom_site_fract_z
_atom_site_occupancy
Re1 0.000 0.000 0.000 1
Sn1 0.000 0.500 0.500 1
Sn2 0.500 0.000 0.500 1
Sn3 0.500 0.500 0.000 1
Pt1 0.500 0.500 0.500 1
# **Space-group type**: Pm-3m, No. 221
# **Electronic total energy**: -27.0 eV for the cell shown
# **Calculated formation energy**: 1219 meV/atom



Record 7
# BaTeW2 (PBEsol, relaxed)
data_BaTeW2
_symmetry_space_group_name_H-M 'P 1'
_symmetry_Int_Tables_number 1
_cell_length_a 10.308
_cell_length_b 10.308
_cell_length_c 10.308
_cell_angle_alpha 17.53
_cell_angle_beta 17.53
_cell_angle_gamma 17.53
loop_
_symmetry_equiv_pos_as_xyz
'x,y,z'
loop_
_atom_site_label
_atom_site_fract_x
_atom_site_fract_y
_atom_site_fract_z
_atom_site_occupancy
Ba1 0.000 0.000 0.000 1
Te1 0.500 0.500 0.500 1
W1 0.235 0.235 0.235 1
W2 0.765 0.765 0.765 1
# **Energy relative to the elements, uncorrected**: 1257 meV/atom
# **Space-group type**: R-3m, No. 166
# **Electronic total energy**: -28.3 eV for the cell shown



Record 8
# BaPrCo2O6 (PBEsol, relaxed)
data_BaPrCo2O6
_symmetry_space_group_name_H-M 'P 1'
_symmetry_Int_Tables_number 1
_cell_length_a 3.840
_cell_length_b 3.840
_cell_length_c 7.561
_cell_angle_alpha 90.00
_cell_angle_beta 90.00
_cell_angle_gamma 90.00
loop_
_symmetry_equiv_pos_as_xyz
'x,y,z'
loop_
_atom_site_label
_atom_site_fract_x
_atom_site_fract_y
_atom_site_fract_z
_atom_site_occupancy
Ba1 0.000 0.000 0.000 1
Pr1 0.000 0.000 0.500 1
Co1 0.500 0.500 0.249 1
Co2 0.500 0.500 0.751 1
O1 0.000 0.500 0.272 1
O2 0.000 0.500 0.728 1
O3 0.500 0.000 0.272 1
O4 0.500 0.000 0.728 1
O5 0.500 0.500 0.000 1
O6 0.500 0.500 0.500 1
# **Energy relative to the elements, uncorrected**: -1970 meV/atom
# **Space-group type**: P4/mmm, No. 123
# **Electronic total energy**: -74.0 eV for the cell shown